Sr3AsN | PBE | relaxed

a b c (Å): 5.1226 5.1226 5.1226
angles (deg): 90.00 90.00 90.00
Closest atoms and distances in Å follow each position.
Element x y z (fractional)
1 Sr 0.0000 0.0000 0.5000  2 N 2.56
2 Sr 0.0000 0.5000 0.0000  2 N 2.56
3 Sr 0.5000 0.0000 0.0000  2 N 2.56
4 As 0.5000 0.5000 0.5000  12 Sr 3.62
5 N 0.0000 0.0000 0.0000  6 Sr 2.56

Computed properties:
* N(E_F): 0.000 states/eV/cell
* calculated volume: 134.42 Å³/cell
* total DFT energy (no corrections): -22.4 eV/cell
* raw formation energy: -876 meV/atom
* energy relative to the lowest polymorph listed for this composition: 30 meV/atom